<A>
DFT (PBE) results for an optimized crystal structure of BaCo2Ru.

The structure in extended XYZ format:
```
4
Lattice="4.2054 -0.0079 0.0040 2.1090 3.6383 0.0040 2.1003 1.2076 5.6655" Properties=species:S:1:pos:R:3 pbc="T T T"
Ba 6.3111 3.6285 4.2551
Co 6.3138 3.6301 1.1185
Co 4.2080 2.4193 1.7262
Ru 2.1037 1.2095 1.4184
```



<B>
DFT (PBE) results for an optimized crystal structure of BaCo2Ru.

The structure in extended XYZ format:
```
4
Lattice="-0.3222 -1.4521 -5.4562 1.6038 -5.3441 -0.9229 -3.6874 3.5226 2.4448" Properties=species:S:1:pos:R:3 pbc="T T T"
Ba -1.6844 -0.6638 -3.1005
Co 0.0657 -0.3482 -0.3269
Co 0.5751 -3.0499 -2.8627
Ru -0.7214 -2.6098 -0.8338
```



Energetically preferred structure: <A> | next structure: +678 meV/atom



<A>
DFT (PBE) results for an optimized crystal structure of BaCo2Ru.

The structure in extended XYZ format:
```
4
Lattice="4.0006 0.0000 0.0000 0.0000 4.3099 -0.0277 0.0000 1.2190 5.2293" Properties=species:S:1:pos:R:3 pbc="T T T"
Ba 2.0003 4.0709 3.9754
Co 0.0000 0.3277 0.7847
Co 2.0003 1.3137 1.3885
Ru 0.0000 2.5811 1.6539
```



<B>
DFT (PBE) results for an optimized crystal structure of BaCo2Ru.

The structure in extended XYZ format:
```
4
Lattice="-1.1812 3.8217 1.1431 -1.9830 2.4607 -2.7055 -6.0770 0.0075 1.2635" Properties=species:S:1:pos:R:3 pbc="T T T"
Ba -6.9265 4.7184 -0.2255
Co -4.1383 5.8780 -1.2165
Co -2.2944 1.5793 -0.0805
Ru -3.6667 3.5412 -0.4884
```



Energetically preferred structure: <B> | next structure: +339 meV/atom



<A>
DFT (PBE) results for an optimized crystal structure of BaCo2Ru.

The structure in extended XYZ format:
```
4
Lattice="3.1825 0.0000 0.0000 0.0000 3.1825 0.0000 0.0000 0.0000 7.4032" Properties=species:S:1:pos:R:3 pbc="T T T"
Ba 1.5913 1.5913 5.5524
Co 0.0000 0.0000 0.6595
Co 0.0000 0.0000 3.0421
Ru 1.5913 1.5913 1.8508
```



<B>
DFT (PBE) results for an optimized crystal structure of BaCo2Ru.

The structure in extended XYZ format:
```
4
Lattice="0.0000 3.3025 3.3025 3.3025 0.0000 3.3025 3.3025 3.3025 0.0000" Properties=species:S:1:pos:R:3 pbc="T T T"
Ru 0.0000 0.0000 0.0000
Co 1.6512 1.6512 1.6512
Co 4.9537 4.9537 4.9537
Ba 3.3025 3.3025 3.3025
```



<C>
DFT (PBE) results for an optimized crystal structure of BaCo2Ru.

The structure in extended XYZ format:
```
4
Lattice="3.3877 0.0000 0.0000 0.0000 4.7202 0.0000 0.0000 0.0000 4.5611" Properties=species:S:1:pos:R:3 pbc="T T T"
Ba 0.0000 2.3601 2.2805
Co 0.0000 0.0000 0.0000
Co 1.6938 2.3601 0.0000
Ru 1.6938 0.0000 2.2805
```



Energetically preferred structure: <A> | next structure: +419 meV/atom



<A>
DFT (PBE) results for an optimized crystal structure of BaCoSb3.

The structure in extended XYZ format:
```
5
Lattice="6.2068 0.0000 0.0000 0.0000 6.2068 0.0000 0.0000 0.0000 6.2068" Properties=species:S:1:pos:R:3 pbc="T T T"
Sb 0.0000 3.1034 0.0000
Sb 0.0000 0.0000 3.1034
Sb 3.1034 0.0000 0.0000
Co 3.1034 3.1034 3.1034
Ba 0.0000 0.0000 0.0000
```



<B>
DFT (PBE) results for an optimized crystal structure of BaCoSb3.

The structure in extended XYZ format:
```
5
Lattice="5.2010 0.0000 0.0000 0.0000 5.2010 0.0000 0.0000 0.0000 5.2010" Properties=species:S:1:pos:R:3 pbc="T T T"
Sb 0.0000 2.6005 0.0000
Sb 0.0000 0.0000 2.6005
Sb 2.6005 0.0000 0.0000
Co 0.0000 0.0000 0.0000
Ba 2.6005 2.6005 2.6005
```



Energetically preferred structure: <B> | next structure: +1794 meV/atom